# 1
This record from the Alexandria database describes a relaxed structure of CdCo2W. The functional is PBE. Values from VASP.

## Properties
Calculated density   11.91 Mg/m³
Crystal system   tetragonal
E_tot   -6.697 eV/atom
Energy relative to the elements   323 meV/atom

Geometry as Quantum ESPRESSO input:
```
&SYSTEM
  ibrav = 0, nat = 4, ntyp = 3
/
ATOMIC_SPECIES
Cd 112.41 Cd.upf
Co 58.93 Co.upf
W 183.84 W.upf
ATOMIC_POSITIONS angstrom
Cd 1.370 1.370 5.920
Co 0.000 0.000 0.291
Co 1.370 1.370 1.754
W 0.000 0.000 3.561
CELL_PARAMETERS angstrom
2.741 0.000 0.000
0.000 2.741 0.000
0.000 0.000 7.684
```


# 2
This record from the Alexandria database describes a relaxed structure of Sc2Re2B. The functional is PBE. Values from VASP.

## Properties
Calculated density   9.90 Mg/m³
Crystal system   tetragonal
E_tot   -7.988 eV/atom
Energy relative to the elements   859 meV/atom

Geometry as Quantum ESPRESSO input:
```
&SYSTEM
  ibrav = 0, nat = 10, ntyp = 3
/
ATOMIC_SPECIES
Sc 44.96 Sc.upf
Re 186.21 Re.upf
B 10.81 B.upf
ATOMIC_POSITIONS angstrom
Sc -5.269 -1.757 -0.945
Sc -5.979 1.052 -2.528
Sc -2.903 2.127 -2.000
Sc -2.193 -0.682 -0.417
Re -4.466 -0.955 1.377
Re -6.859 0.546 -0.151
Re -4.934 3.057 -0.699
Re -2.541 1.556 0.829
B 0.000 0.000 0.000
B -4.086 0.185 -1.473
CELL_PARAMETERS angstrom
-3.319 4.141 -3.103
-4.853 -3.771 0.158
-1.227 1.732 3.623
```


What is the energy relative to the elements in the second record? 859 meV/atom


Which formula does entry 1 have? CdCo2W


Look up the calculated density of the first one. 11.91 Mg/m³